Entry 1:
In2ICl at its PBEsol-relaxed geometry, computed with SCAN.

Cell lengths 8.813, 8.813, 8.813 Å; angles 130.69, 130.69, 72.31 degrees
Fractional coordinates of all 8 atoms:
In (0.087, 0.625, 0.962)
In (0.375, 0.337, 0.462)
In (0.663, 0.125, 0.038)
In (0.875, 0.913, 0.538)
I (0.250, 0.750, 0.500)
I (0.500, 0.500, 0.000)
Cl (0.000, 0.000, 0.000)
Cl (0.750, 0.250, 0.500)

Output
- raw total energy (eV/cell) = -226.84
- space group = I-42d (122)
- raw formation energy (eV per atom) = -0.482
- DOS(E_F) (states/eV per cell) = 0.000
- total magnetization (μB per cell) = 0.00

***

Entry 2:
Sr2RuAu at its PBEsol-relaxed geometry, computed with SCAN.

Cell lengths 6.331, 6.331, 6.331 Å; angles 147.12, 133.73, 57.92 degrees
Fractional coordinates of all 4 atoms:
Sr (0.000, 0.000, 0.000)
Sr (0.710, 0.210, 0.500)
Ru (0.452, 0.452, 0.000)
Au (0.274, 0.774, 0.500)

Output
- raw total energy (eV/cell) = -148.44
- space group = Imm2 (44)
- formation enthalpy at 0 K (eV per atom) = 0.024
- DOS(E_F) (states/eV per cell) = 2.461
- total magnetization (μB per cell) = 0.45

***

Entry 3:
Mg2Au at its PBEsol-relaxed geometry, computed with SCAN.

Cell lengths 5.437, 5.437, 5.437 Å; angles 60.00, 60.00, 60.00 degrees
Fractional coordinates of all 6 atoms:
Mg (0.000, 0.000, 0.000)
Mg (0.000, 0.000, 0.500)
Mg (0.000, 0.500, 0.000)
Mg (0.500, 0.000, 0.000)
Au (0.375, 0.375, 0.375)
Au (0.625, 0.625, 0.625)

Output
- raw total energy (eV/cell) = -158.55
- space group = Fd-3m (227)
- formation enthalpy at 0 K (eV per atom) = -0.057
- DOS(E_F) (states/eV per cell) = 1.776
- total magnetization (μB per cell) = 0.00

***

Entry 4:
YCrOs2 at its PBEsol-relaxed geometry, computed with SCAN.

Cell lengths 4.170, 5.607, 5.607 Å; angles 30.01, 90.00, 90.00 degrees
Fractional coordinates of all 4 atoms:
Y (0.000, 0.000, 0.000)
Cr (0.500, 0.354, 0.354)
Os (0.000, 0.256, 0.256)
Os (0.500, 0.661, 0.661)

Output
- raw total energy (eV/cell) = -188.55
- space group = Amm2 (38)
- formation enthalpy at 0 K (eV per atom) = 0.360
- DOS(E_F) (states/eV per cell) = 3.766
- total magnetization (μB per cell) = 0.00